The following is a DFT calculation (PBE) of a relaxed structure of InAg2Ir.

Lattice parameters (Å, degrees): 9.8121 9.8121 9.8121 17.21 17.21 17.21
Closest atoms and distances in Å follow each position.
Atoms (fractional coordinates):
In: 0.0000 0.0000 0.0000  6 In 2.94, 6 Ag 3.05
Ag: 0.2460 0.2460 0.2460  3 Ir 2.86, 6 Ag 2.94, 3 In 3.05
Ag: 0.7540 0.7540 0.7540  3 Ir 2.86, 6 Ag 2.94, 3 In 3.05
Ir: 0.5000 0.5000 0.5000  6 Ag 2.86, 6 Ir 2.94

Calculated values
- space-group type = No. 166
- formation energy (eV/f.u.) = 1.486



The following is a DFT calculation (PBE) of a relaxed structure of Ce2TcNi3.

Lattice parameters (Å, degrees): 5.2872 5.2872 5.2872 56.81 56.81 56.81
Closest atoms and distances in Å follow each position.
Atoms (fractional coordinates):
Ce: 0.1273 0.1273 0.1273  3 Tc 2.95, 9 Ni 3.03-3.09, 3 Ce 3.09
Ce: 0.8727 0.8727 0.8727  3 Tc 2.95, 9 Ni 3.03-3.09, 3 Ce 3.09
Tc: 0.5000 0.5000 0.5000  6 Ni 2.64, 6 Ce 2.95
Ni: 0.0000 0.5000 0.5000  4 Ni 2.51, 2 Tc 2.64
Ni: 0.5000 0.0000 0.5000  4 Ni 2.51, 2 Tc 2.64
Ni: 0.5000 0.5000 0.0000  4 Ni 2.51, 2 Tc 2.64

Calculated values
- space-group type = No. 166
- formation energy (eV/f.u.) = -1.865



The following is a DFT calculation (PBE) of a relaxed structure of Mn2AsP.

Lattice parameters (Å, degrees): 3.8990 3.8990 5.0987 102.67 102.67 42.97
Closest atoms and distances in Å follow each position.
Atoms (fractional coordinates):
Mn: 0.2444 0.2444 0.2252  3 P 2.35-2.40, 3 As 2.49-2.51
Mn: 0.7556 0.7556 0.7748  3 P 2.35-2.40, 3 As 2.49-2.51
As: 0.0000 0.0000 0.5000  6 Mn 2.49-2.51
P: 0.5000 0.5000 0.0000  6 Mn 2.35-2.40

Calculated values
- space-group type = No. 12
- formation energy (eV/f.u.) = -0.066



The following is a DFT calculation (PBE) of a relaxed structure of Sr2LiPdO4.

Lattice parameters (Å, degrees): 10.3526 8.8196 6.3971 84.13 57.94 37.93
Closest atoms and distances in Å follow each position.
Atoms (fractional coordinates):
Sr: 0.0514 0.0514 0.6986  2 O 2.43
Sr: 0.3014 0.3014 0.9486  2 O 2.43
Sr: 0.6986 0.6986 0.0514  2 O 2.43
Sr: 0.9486 0.9486 0.3014  2 O 2.43
Li: 0.1250 0.1250 0.1250  4 O 1.94
Li: 0.8750 0.8750 0.8750  4 O 1.94
Pd: 0.3750 0.3750 0.3750  4 O 2.03
Pd: 0.6250 0.6250 0.6250  4 O 2.03
O: 0.0488 0.2768 0.4445  1 Li 1.94, 1 Pd 2.03
O: 0.2701 0.5555 0.7232  1 Li 1.94, 1 Pd 2.03
O: 0.2768 0.0488 0.7299  1 Li 1.94, 1 Pd 2.03
O: 0.4445 0.7299 0.0488  1 Li 1.94, 1 Pd 2.03
O: 0.5555 0.2701 0.9512  1 Li 1.94, 1 Pd 2.03
O: 0.7232 0.9512 0.2701  1 Li 1.94, 1 Pd 2.03
O: 0.7299 0.4445 0.2768  1 Li 1.94, 1 Pd 2.03
O: 0.9512 0.7232 0.5555  1 Li 1.94, 1 Pd 2.03

Calculated values
- space-group type = No. 70
- E_form (uncorrected) (eV/atom) = -1.56



The following is a DFT calculation (PBE) of a relaxed structure of Na2Sc.

Lattice parameters (Å, degrees): 3.3642 3.3761 9.3058 79.61 80.03 60.28
Closest atoms and distances in Å follow each position.
Atoms (fractional coordinates):
Na: 0.0000 0.0000 0.0000  6 Na 3.36-3.38, 3 Sc 3.49-3.54
Na: 0.2030 0.2310 0.3588  6 Na 3.36-3.38, 3 Sc 3.51-3.52
Sc: 0.4339 0.4590 0.6794  6 Sc 3.36-3.38, 6 Na 3.49-3.54

Calculated values
- space-group type = No. 1
- energy relative to the lowest polymorph listed for this composition (eV per formula unit) = 0.00
- formation energy (eV/f.u.) = 0.759



The following is a DFT calculation (PBE) of a relaxed structure of SrScBr.

Lattice parameters (Å, degrees): 5.1630 5.1630 5.1630 60.00 60.00 60.00
Closest atoms and distances in Å follow each position.
Atoms (fractional coordinates):
Sr: 0.0000 0.0000 0.0000  4 Br 3.16
Sc: 0.5000 0.5000 0.5000  4 Br 3.16
Br: 0.7500 0.7500 0.7500  4 Sr 3.16, 4 Sc 3.16

Calculated values
- space-group type = No. 216
- energy relative to the lowest polymorph listed for this composition (eV per formula unit) = 1.40
- E_form (uncorrected) (eV/atom) = -0.13